(1)
Here is crystalline Pm6NdY at its relaxed geometry from the Alexandria database. Energies are from PBE-GGA.

Properties
ρ, Mg/m³: 6.681
DOS(E_F), states/eV per atom: 1.479
Distance to the lowest polymorph of the same formula, meV/atom: 0.0
Final energy, eV per atom: -4.9543
Crystal system: tetragonal
E_form, eV per atom: 0.01

Unit cell a=5.151 b=7.296 c=7.296 alpha=89.99 beta=90.00 gamma=90.00
Element x y z (fractional)
Y 0.500 0.500 0.500
Nd 0.500 0.000 0.000
Pm 0.500 0.500 0.000
Pm 0.500 0.000 0.500
Pm 0.000 0.749 0.251
Pm 0.000 0.251 0.749
Pm 0.000 0.251 0.251
Pm 0.000 0.749 0.749

---

(2)
Here is crystalline CdBi at its relaxed geometry from the Alexandria database. Energies are from PBE-GGA.

Properties
ρ, Mg/m³: 7.385
DOS(E_F), states/eV per atom: 0.349
Final energy, eV per atom: -2.2557
Crystal system: tetragonal
E_form, eV per atom: 0.14

Unit cell a=10.895 b=10.895 c=4.870 alpha=90.00 beta=90.00 gamma=90.00
Element x y z (fractional)
Cd 0.832 0.786 0.000
Cd 0.786 0.168 0.000
Cd 0.214 0.832 0.000
Cd 0.332 0.286 0.500
Cd 0.168 0.214 0.000
Cd 0.286 0.668 0.500
Cd 0.714 0.332 0.500
Cd 0.668 0.714 0.500
Bi 0.494 0.705 0.000
Bi 0.295 0.494 0.000
Bi 0.506 0.295 0.000
Bi 0.705 0.506 0.000
Bi 0.795 0.994 0.500
Bi 0.994 0.205 0.500
Bi 0.006 0.795 0.500
Bi 0.205 0.006 0.500